A geometry-optimized SrPmGa structure. Source: Alexandria via LeMat-Bulk, functional GGA-PBE.

Computed properties:
Mass density   5.21 g/cm³
Energy relative to the lowest polymorph listed for this composition   0.1337 eV/atom

```
data_SrPmGa
_chemical_formula_sum 'Sr1 Pm1 Ga1'
_space_group_name_H-M_alt 'P 3 m 1'
_space_group_IT_number 156
_space_group_name_Hall 'P 3 -2"'
_cell_length_a 5.2265
_cell_length_b 5.2265
_cell_length_c 4.0717
_cell_angle_alpha 90.00
_cell_angle_beta 90.00
_cell_angle_gamma 120.00
loop_
_atom_site_label
_atom_site_fract_x
_atom_site_fract_y
_atom_site_fract_z
_atom_site_occupancy
Sr1 0.0000 0.0000 0.0000 1
Pm1 0.6667 0.3333 0.5375 1
Ga1 0.3333 0.6667 0.3784 1
```